Below is crystalline Ac2Ga4Pd3Pt at its relaxed geometry, with properties calculated at the PBE-GGA level.

Computed properties:
Space-group type   No. 115
Uncorrected energy   -5.0397 eV per atom

abc: 4.520 4.520 10.213
angles: 90.00 90.00 90.00
Fractional coordinates of all 10 atoms:
Ga (0.000, 0.500, 0.379)
Ga (0.000, 0.000, 0.000)
Ac (0.500, 0.000, 0.251)
Ga (0.500, 0.500, 0.000)
Ga (0.500, 0.000, 0.621)
Pd (0.500, 0.000, 0.872)
Pd (0.000, 0.000, 0.500)
Pt (0.500, 0.500, 0.500)
Ac (0.000, 0.500, 0.749)
Pd (0.000, 0.500, 0.128)